Material: Tb2ErIrO8
Method: DFT, PBE-GGA
State: optimized geometry

Calculated values
Its space group is Cmmm, No. 65. As for the crystal system: orthorhombic. The formation energy without anion corrections comes out at -2.357 eV per atom.

abc: 5.053 5.045 6.775
angles: 90.00 90.00 90.73
Each line ends with the local moment (μB).
Fractional coordinates of all 12 atoms:
O1 0.819 0.182 0.787  0.10
O2 0.181 0.818 0.213  0.10
O3 0.268 0.267 0.000  0.06
O4 0.305 0.305 0.500  0.01
O5 0.181 0.818 0.787  0.10
O6 0.695 0.695 0.500  0.01
O7 0.819 0.182 0.213  0.10
O8 0.732 0.733 0.000  0.06
Tb1 0.500 0.500 0.252  0.03
Tb2 0.500 0.500 0.748  0.03
Er1 0.000 0.000 0.500  0.04
Ir1 0.000 0.000 0.000  0.76

Material: Er2TlIrO8
Method: DFT, PBE-GGA
State: optimized geometry

Calculated values
Its space group is Cmmm, No. 65. As for the crystal system: orthorhombic. The formation energy without anion corrections comes out at -1.802 eV per atom.

abc: 4.906 4.904 7.007
angles: 90.00 90.00 92.50
Each line ends with the local moment (μB).
Fractional coordinates of all 12 atoms:
Er1 0.500 0.500 0.246  0.04
Er2 0.500 0.500 0.754  0.04
O1 0.186 0.813 0.199  0.13
O2 0.186 0.813 0.801  0.13
O3 0.305 0.304 0.500  0.06
O4 0.695 0.696 0.500  0.06
O5 0.814 0.187 0.199  0.13
O6 0.284 0.283 0.000  0.04
O7 0.814 0.187 0.801  0.13
O8 0.716 0.717 0.000  0.04
Ir1 0.000 0.000 0.000  0.89
Tl1 0.000 0.000 0.500  0.02

Material: ErTm2IrO8
Method: DFT, PBE-GGA
State: optimized geometry

Calculated values
Its space group is Cmmm, No. 65. As for the crystal system: orthorhombic. The formation energy without anion corrections comes out at -2.407 eV per atom.

abc: 4.983 4.979 6.689
angles: 90.00 90.00 90.64
Each line ends with the local moment (μB).
Fractional coordinates of all 12 atoms:
Ir1 0.000 0.000 0.000  0.74
O1 0.727 0.727 0.000  0.04
O2 0.273 0.273 0.000  0.04
O3 0.308 0.308 0.500  0.01
O4 0.185 0.814 0.213  0.10
O5 0.185 0.814 0.787  0.10
O6 0.815 0.186 0.213  0.10
O7 0.692 0.692 0.500  0.01
O8 0.815 0.186 0.787  0.10
Tm1 0.500 0.500 0.747  0.03
Tm2 0.500 0.500 0.253  0.03
Er1 0.000 0.000 0.500  0.04

Material: YEr2IrO8
Method: DFT, PBE-GGA
State: optimized geometry

Calculated values
Its space group is Cmmm, No. 65. As for the crystal system: orthorhombic. The formation energy without anion corrections comes out at -2.376 eV per atom.

abc: 5.008 5.009 6.753
angles: 90.00 90.00 90.53
Each line ends with the local moment (μB).
Fractional coordinates of all 12 atoms:
O1 0.815 0.186 0.790  -0.12
O2 0.272 0.271 0.000  -0.05
O3 0.815 0.186 0.210  -0.12
O4 0.309 0.309 0.500  -0.02
O5 0.728 0.729 0.000  -0.05
O6 0.185 0.814 0.210  -0.12
O7 0.185 0.814 0.790  -0.12
O8 0.691 0.691 0.500  -0.02
Ir1 0.000 0.000 0.000  -0.83
Y1 0.000 0.000 0.500  -0.02
Er1 0.500 0.500 0.252  -0.03
Er2 0.500 0.500 0.748  -0.03

Material: Y2ErIrO8
Method: DFT, PBE-GGA
State: optimized geometry

Calculated values
Its space group is Cmmm, No. 65. As for the crystal system: orthorhombic. The formation energy without anion corrections comes out at -2.352 eV per atom.

abc: 5.042 5.037 6.759
angles: 90.00 90.00 90.79
Each line ends with the local moment (μB).
Fractional coordinates of all 12 atoms:
Ir1 0.000 0.000 0.000  -0.76
O1 0.730 0.731 0.000  -0.05
O2 0.181 0.817 0.787  -0.10
O3 0.695 0.695 0.500  -0.01
O4 0.270 0.269 0.000  -0.05
O5 0.819 0.183 0.213  -0.10
O6 0.181 0.817 0.213  -0.10
O7 0.819 0.183 0.787  -0.10
O8 0.305 0.305 0.500  -0.01
Y1 0.500 0.500 0.748  -0.02
Y2 0.500 0.500 0.252  -0.02
Er1 0.000 0.000 0.500  -0.04

Material: ErZnIrO6
Method: DFT, PBE-GGA
State: optimized geometry

Calculated values
Its space group is P-31c, No. 163. As for the crystal system: trigonal. The formation energy without anion corrections comes out at -1.431 eV per atom.

abc: 5.401 5.401 8.661
angles: 90.00 90.00 120.00
Each line ends with the local moment (μB).
Fractional coordinates of all 18 atoms:
O1 0.675 0.041 0.375  0.10
O2 0.366 0.041 0.125  0.10
O3 0.041 0.366 0.625  0.10
O4 0.634 0.959 0.875  0.10
O5 0.041 0.675 0.875  0.10
O6 0.634 0.675 0.625  0.10
O7 0.959 0.325 0.125  0.10
O8 0.366 0.325 0.375  0.10
O9 0.325 0.959 0.625  0.10
O10 0.675 0.634 0.125  0.10
O11 0.325 0.366 0.875  0.10
O12 0.959 0.634 0.375  0.10
Er1 0.333 0.667 0.250  0.04
Er2 0.667 0.333 0.750  0.04
Zn1 0.000 0.000 0.000  0.02
Zn2 0.000 0.000 0.500  0.02
Ir1 0.667 0.333 0.250  0.69
Ir2 0.333 0.667 0.750  0.69

> Among the records above, which one has the lowest formation energy without anion corrections?

ErTm2IrO8